Entry 1:
{
  "formula": "InPPdO2",
  "functional": "PBE",
  "state": "optimized geometry",
  "lattice": [[3.969, 0.000, 0.000], [0.000, 3.969, 0.000], [0.000, 0.000, 4.948]],
  "species": ["O", "Pd", "In", "P", "O"],
  "fractional_positions": [[0.500, 0.000, 0.000], [0.000, 0.000, 0.000], [0.500, 0.500, 0.500], [0.000, 0.000, 0.500], [0.000, 0.500, 0.000]],
  "polymorph_energy_kcal_per_mol_atoms": 7.67,
  "formation_energy_uncorrected_ev_per_atom": 0.0346,
  "dft_energy_ev_per_cell": -23.1,
  "density_g_cm3": 6.05
}

---

Entry 2:
{
  "formula": "Si2NiAg",
  "functional": "PBE",
  "state": "optimized geometry",
  "lattice": [[2.923, 0.000, 0.000], [0.000, 3.462, 0.000], [0.000, 0.000, 5.625]],
  "species": ["Ag", "Si", "Ni", "Si"],
  "fractional_positions": [[0.000, 0.000, 0.495], [0.500, 0.500, 0.225], [0.500, 0.500, 0.817], [0.000, 0.000, 0.962]],
  "polymorph_energy_kcal_per_mol_atoms": 2.04,
  "formation_energy_uncorrected_ev_per_atom": 0.0732,
  "dft_energy_ev_per_cell": -19.2,
  "density_g_cm3": 6.50
}